# 1
{
  "formula": "ZrAsS",
  "functional": "PBE",
  "state": "relaxed",
  "cell": [[-1.709, 1.709, 4.715], [1.709, -1.709, 4.715], [1.709, 1.709, -4.715]],
  "species": ["Zr", "As", "S"],
  "fractional_positions": [[0.000, 0.000, 0.000], [0.681, 0.681, 0.000], [0.380, 0.380, 0.000]],
  "total_magnetization_mub_per_fu": 0.00,
  "dft_energy_ev_per_atom": -6.648,
  "formation_energy_uncorrected_ev_per_atom": -0.87
}

# 2
{
  "formula": "Zr4AsS",
  "functional": "PBE",
  "state": "relaxed",
  "cell": [[7.132, 0.000, 0.000], [0.000, 5.722, 0.000], [-3.284, 0.000, 6.427]],
  "species": ["Zr", "Zr", "Zr", "Zr", "Zr", "Zr", "Zr", "Zr", "As", "As", "S", "S"],
  "fractional_positions": [[0.167, 0.222, 0.343], [0.167, 0.278, 0.843], [0.303, 0.718, 0.139], [0.303, 0.782, 0.639], [0.697, 0.218, 0.361], [0.697, 0.282, 0.861], [0.833, 0.722, 0.157], [0.833, 0.778, 0.657], [0.500, 0.000, 0.000], [0.500, 0.500, 0.500], [0.000, 0.000, 0.000], [0.000, 0.500, 0.500]],
  "total_magnetization_mub_per_fu": 0.00,
  "dft_energy_ev_per_atom": -7.965,
  "formation_energy_uncorrected_ev_per_atom": -0.80
}

# 3
{
  "formula": "Zr3AsS",
  "functional": "PBE",
  "state": "relaxed",
  "cell": [[4.791, 0.000, 0.000], [0.000, 4.791, 0.000], [0.000, 0.000, 4.791]],
  "species": ["Zr", "Zr", "Zr", "As", "S"],
  "fractional_positions": [[0.000, 0.000, 0.500], [0.000, 0.500, 0.000], [0.500, 0.000, 0.000], [0.500, 0.500, 0.500], [0.000, 0.000, 0.000]],
  "total_magnetization_mub_per_fu": 0.00,
  "dft_energy_ev_per_atom": -7.254,
  "de_polymorph_kj_per_mol_fu": 0.0,
  "formation_energy_uncorrected_ev_per_atom": -0.37
}

# 4
{
  "formula": "SbAs2",
  "functional": "PBE",
  "state": "relaxed",
  "cell": [[5.089, 0.000, 0.000], [-2.545, 4.407, 0.000], [0.000, 0.000, 5.875]],
  "species": ["Sb", "Sb", "As", "As", "As", "As"],
  "fractional_positions": [[0.333, 0.667, 0.250], [0.667, 0.333, 0.750], [0.000, 0.000, 0.000], [0.000, 0.000, 0.500], [0.333, 0.667, 0.750], [0.667, 0.333, 0.250]],
  "total_magnetization_mub_per_fu": 0.00,
  "dft_energy_ev_per_atom": -4.106,
  "de_polymorph_kj_per_mol_fu": 98.6,
  "formation_energy_uncorrected_ev_per_atom": 0.37
}

# 5
{
  "formula": "SbAs",
  "functional": "PBE",
  "state": "relaxed",
  "cell": [[3.905, 0.000, 0.000], [-1.952, 3.381, 0.000], [0.000, 0.000, 9.474]],
  "species": ["Sb", "Sb", "As", "As"],
  "fractional_positions": [[0.333, 0.667, 0.177], [0.667, 0.333, 0.823], [0.333, 0.667, 0.664], [0.667, 0.333, 0.336]],
  "total_magnetization_mub_per_fu": 0.00,
  "dft_energy_ev_per_atom": -4.353,
  "de_polymorph_kj_per_mol_fu": 8.9,
  "formation_energy_uncorrected_ev_per_atom": 0.03
}

# 6
{
  "formula": "SbAs3",
  "functional": "PBE",
  "state": "relaxed",
  "cell": [[4.408, 0.000, 0.000], [0.000, 4.408, 0.000], [0.000, 0.000, 4.408]],
  "species": ["Sb", "As", "As", "As"],
  "fractional_positions": [[0.000, 0.000, 0.000], [0.000, 0.500, 0.500], [0.500, 0.000, 0.500], [0.500, 0.500, 0.000]],
  "total_magnetization_mub_per_fu": 0.00,
  "dft_energy_ev_per_atom": -4.009,
  "de_polymorph_kj_per_mol_fu": 194.8,
  "formation_energy_uncorrected_ev_per_atom": 0.51
}